1.
Below is Nd4Ho3Hg after structural relaxation, with properties calculated at the GGA-PBE level.

POSCAR file:
```
Nd4Ho3Hg
1.0
3.6577 0.0000 0.0000
0.0000 3.6577 0.0000
0.0000 0.0000 19.1636
Nd Ho Hg
4 3 1
Direct
0.0000 0.0000 0.8916 Nd
0.0000 0.0000 0.1084 Nd
0.0000 0.0000 0.3704 Nd
0.0000 0.0000 0.6296 Nd
0.5000 0.5000 0.2402 Ho
0.5000 0.5000 0.5000 Ho
0.5000 0.5000 0.7598 Ho
0.5000 0.5000 0.0000 Hg
```

Results
calculated formation energy = -95 meV/atom
D(E_F) = 1.398 states/eV/atom

2.
Below is NaSrBeSb2 after structural relaxation, with properties calculated at the GGA-PBE level.

POSCAR file:
```
NaSrBeSb2
1.0
-4.6998 2.8791 -2.4605
2.3985 -1.0991 -5.8676
-3.0462 -5.2038 -0.2705
Sb Na Be Sr
2 1 1 1
Direct
0.0000 0.0000 0.5000 Sb
0.5000 0.0000 0.0000 Sb
0.0000 0.5000 0.0000 Na
0.5000 0.5000 0.5000 Be
0.0000 0.0000 0.0000 Sr
```

Results
formation energy from raw total energies = 1075 meV per atom
D(E_F) = 0.716 states/eV/atom

3.
Below is LiYTc2Ni after structural relaxation, with properties calculated at the GGA-PBE level.

POSCAR file:
```
LiYTc2Ni
1.0
4.1643 0.0000 0.0000
0.0000 4.7161 0.0000
0.0000 0.0000 4.1643
Y Ni Tc Li
1 1 2 1
Direct
0.0000 0.5000 0.0000 Y
0.5000 0.5000 0.5000 Ni
0.0000 0.0000 0.5000 Tc
0.5000 0.0000 0.0000 Tc
0.0000 0.0000 0.0000 Li
```

Results
calculated formation energy = 1080 meV/atom
D(E_F) = 1.162 states/eV/atom

4.
Below is Mg2Cu2Sn after structural relaxation, with properties calculated at the GGA-PBE level.

POSCAR file:
```
Mg2Cu2Sn
1.0
-5.0682 -4.0387 -2.2684
3.1544 -0.5468 -6.0741
1.8900 -3.0788 1.2587
Mg Sn Cu
4 2 4
Direct
0.1623 0.6623 0.5000 Mg
0.6623 0.8377 0.5000 Mg
0.8377 0.3377 0.5000 Mg
0.3377 0.1623 0.5000 Mg
0.0000 0.0000 0.0000 Sn
0.5000 0.5000 0.0000 Sn
0.3717 0.8717 0.0000 Cu
0.8717 0.6283 0.0000 Cu
0.6283 0.1283 0.0000 Cu
0.1283 0.3717 0.0000 Cu
```

Results
calculated formation energy = -109 meV/atom
D(E_F) = 0.298 states/eV/atom

5.
Below is Nd2MgZn4In3 after structural relaxation, with properties calculated at the GGA-PBE level.

POSCAR file:
```
Nd2MgZn4In3
1.0
4.4652 0.0000 0.0000
0.0000 4.4652 0.0000
0.0000 0.0000 11.3100
Nd Mg Zn In
2 1 4 3
Direct
0.5000 0.0000 0.2405 Nd
0.0000 0.5000 0.7595 Nd
0.5000 0.5000 0.5000 Mg
0.5000 0.5000 0.0000 Zn
0.0000 0.0000 0.0000 Zn
0.5000 0.0000 0.6388 Zn
0.0000 0.5000 0.3612 Zn
0.0000 0.0000 0.5000 In
0.5000 0.0000 0.8659 In
0.0000 0.5000 0.1341 In
```

Results
calculated formation energy = -313 meV/atom
D(E_F) = 0.481 states/eV/atom

6.
Below is In2HgP after structural relaxation, with properties calculated at the GGA-PBE level.

POSCAR file:
```
In2HgP
1.0
4.0036 0.0000 0.0000
2.0018 3.4672 0.0000
2.0018 1.1557 7.4019
In Hg P
2 1 1
Direct
0.0679 0.0679 0.7962 In
0.2651 0.2651 0.2046 In
0.4987 0.4987 0.5039 Hg
0.6682 0.6682 0.9953 P
```

Results
calculated formation energy = -4 meV/atom
D(E_F) = 0.292 states/eV/atom